The following is a DFT calculation (PBE-GGA) of crystalline PaBrF3 at its relaxed geometry.

Unit cell a=4.5339 b=4.5339 c=4.5339 alpha=90.00 beta=90.00 gamma=90.00
With the nearest neighbours (Å) after each atom.
Element x y z (fractional)
Pa: 0.0000 0.0000 0.0000  6 F 2.27
F: 0.5000 0.0000 0.0000  2 Pa 2.27
Br: 0.5000 0.5000 0.5000  12 F 3.21
F: 0.0000 0.5000 0.0000  2 Pa 2.27
F: 0.0000 0.0000 0.5000  2 Pa 2.27

Summary:
Its space group is Pm-3m (221). For the density of states at the Fermi level, the calculation gives 0.162 states/eV/atom. Its energy above the most stable polymorph in this dataset is 134 meV/atom. Its total energy is -31.958 eV for the cell shown. The calculation puts the uncorrected formation energy at -3.035 eV/atom. The value obtained for the size of the total moment is 1.01 μB/cell.